# Mg3Rh5, relaxed, DFT PBE
# E_form	-235	kJ/mol of formula units
# distance to the lowest polymorph of the same formula	0	meV/atom
# size of the total moment	0.4	μB/f.u.
data_Mg3Rh5
_cell_length_a 6.2061
_cell_length_b 8.7423
_cell_length_c 4.3939
_cell_angle_alpha 90.00
_cell_angle_beta 90.00
_cell_angle_gamma 90.00
_space_group_name_H-M_alt 'C m m m'
_space_group_IT_number 65
_space_group_name_Hall '-C 2 2'
loop_
_atom_site_label
_atom_site_type_symbol
_atom_site_fract_x
_atom_site_fract_y
_atom_site_fract_z
_atom_site_occupancy
Mg1 Mg 0.0000 0.0000 0.0000 1
Mg2 Mg 0.0000 0.2527 0.5000 1
Rh1 Rh 0.0000 0.5000 0.0000 1
Rh2 Rh 0.2485 0.5000 0.5000 1
Rh3 Rh 0.2500 0.2500 0.0000 1


# Mg3Rh2, relaxed, DFT PBE
# E_form	-158	kJ/mol of formula units
# size of the total moment	0.0	μB/f.u.
data_Mg3Rh2
_cell_length_a 4.4410
_cell_length_b 4.4410
_cell_length_c 5.3147
_cell_angle_alpha 90.00
_cell_angle_beta 90.00
_cell_angle_gamma 120.00
_space_group_name_H-M_alt 'P -3 m 1'
_space_group_IT_number 164
_space_group_name_Hall '-P 3 2"'
loop_
_atom_site_label
_atom_site_type_symbol
_atom_site_fract_x
_atom_site_fract_y
_atom_site_fract_z
_atom_site_occupancy
Mg1 Mg 0.0000 0.0000 0.0000 1
Mg2 Mg 0.3333 0.6667 0.3522 1
Rh1 Rh 0.3333 0.6667 0.8576 1


# Mg3Rh5, relaxed, DFT PBE
# E_form	-136	kJ/mol of formula units
# distance to the lowest polymorph of the same formula	128	meV/atom
# size of the total moment	0.0	μB/f.u.
data_Mg3Rh5
_cell_length_a 5.0580
_cell_length_b 13.8376
_cell_length_c 7.3638
_cell_angle_alpha 90.00
_cell_angle_beta 109.99
_cell_angle_gamma 90.00
_space_group_name_H-M_alt 'C 1 2/m 1'
_space_group_IT_number 12
loop_
_space_group_symop_operation_xyz
'x,y,z'
'-x,-y,-z'
'-x,y,-z'
'x,-y,z'
'x+1/2,y+1/2,z'
'-x+1/2,-y+1/2,-z'
'-x+1/2,y+1/2,-z'
'x+1/2,-y+1/2,z'
loop_
_atom_site_label
_atom_site_type_symbol
_atom_site_fract_x
_atom_site_fract_y
_atom_site_fract_z
_atom_site_occupancy
Mg1 Mg 0.0000 0.1777 0.0000 1
Mg2 Mg 0.0000 0.2501 0.5000 1
Mg3 Mg 0.1774 0.5000 0.3552 1
Rh1 Rh 0.0990 0.3349 0.1964 1
Rh2 Rh 0.1643 0.0979 0.3296 1
Rh3 Rh 0.2491 0.5000 0.9993 1


# MgRuRh, relaxed, DFT PBE
# E_form	8	kJ/mol of formula units
# distance to the lowest polymorph of the same formula	121	meV/atom
# size of the total moment	0.0	μB/f.u.
data_MgRuRh
_cell_length_a 2.7935
_cell_length_b 2.7935
_cell_length_c 6.6868
_cell_angle_alpha 90.00
_cell_angle_beta 90.00
_cell_angle_gamma 120.00
_space_group_name_H-M_alt 'P 3 m 1'
_space_group_IT_number 156
loop_
_space_group_symop_operation_xyz
'x,y,z'
'-y,x-y,z'
'-x+y,-x,z'
'-y,-x,z'
'-x+y,y,z'
'x,x-y,z'
loop_
_atom_site_label
_atom_site_type_symbol
_atom_site_fract_x
_atom_site_fract_y
_atom_site_fract_z
_atom_site_occupancy
Mg1 Mg 0.0000 0.0000 0.0000 1
Ru1 Ru 0.3333 0.6667 0.6544 1
Rh1 Rh 0.6667 0.3333 0.3390 1


# Mg2RuRh, relaxed, DFT PBE
# E_form	-70	kJ/mol of formula units
# size of the total moment	0.0	μB/f.u.
data_Mg2RuRh
_cell_length_a 10.0680
_cell_length_b 2.8349
_cell_length_c 4.7546
_cell_angle_alpha 90.00
_cell_angle_beta 111.59
_cell_angle_gamma 90.00
_space_group_name_H-M_alt 'C 1 m 1'
_space_group_IT_number 8
loop_
_space_group_symop_operation_xyz
'x,y,z'
'x,-y,z'
'x+1/2,y+1/2,z'
'x+1/2,-y+1/2,z'
loop_
_atom_site_label
_atom_site_type_symbol
_atom_site_fract_x
_atom_site_fract_y
_atom_site_fract_z
_atom_site_occupancy
Mg1 Mg 0.0000 0.0000 0.0000 1
Mg2 Mg 0.2172 0.0000 0.6083 1
Ru1 Ru 0.2541 0.5000 0.1255 1
Rh1 Rh 0.4680 0.0000 0.4921 1


# Mg2RuRh2, relaxed, DFT PBE
# E_form	18	kJ/mol of formula units
# size of the total moment	2.3	μB/f.u.
data_Mg2RuRh2
_cell_length_a 7.1012
_cell_length_b 7.1012
_cell_length_c 3.1415
_cell_angle_alpha 90.00
_cell_angle_beta 90.00
_cell_angle_gamma 90.00
_space_group_name_H-M_alt 'P 4/m b m'
_space_group_IT_number 127
_space_group_name_Hall '-P 4 2ab'
loop_
_atom_site_label
_atom_site_type_symbol
_atom_site_fract_x
_atom_site_fract_y
_atom_site_fract_z
_atom_site_occupancy
Mg1 Mg 0.1631 0.3369 0.0000 1
Ru1 Ru 0.0000 0.0000 0.5000 1
Rh1 Rh 0.1368 0.6368 0.5000 1


# MgRu2Rh, relaxed, DFT PBE
# E_form	221	kJ/mol of formula units
# size of the total moment	0.0	μB/f.u.
data_MgRu2Rh
_cell_length_a 7.4044
_cell_length_b 7.4044
_cell_length_c 4.9629
_cell_angle_alpha 90.00
_cell_angle_beta 90.00
_cell_angle_gamma 90.00
_space_group_name_H-M_alt 'I -4 2 d'
_space_group_IT_number 122
_space_group_name_Hall 'I -4 2bw'
loop_
_atom_site_label
_atom_site_type_symbol
_atom_site_fract_x
_atom_site_fract_y
_atom_site_fract_z
_atom_site_occupancy
Mg1 Mg 0.0000 0.0000 0.0000 1
Ru1 Ru 0.2013 0.2500 0.6250 1
Rh1 Rh 0.0000 0.0000 0.5000 1


# Mg2RuRh, relaxed, DFT PBE
# E_form	-16	kJ/mol of formula units
# size of the total moment	2.1	μB/f.u.
data_Mg2RuRh
_cell_length_a 6.3234
_cell_length_b 6.3234
_cell_length_c 6.3234
_cell_angle_alpha 90.00
_cell_angle_beta 90.00
_cell_angle_gamma 90.00
_space_group_name_H-M_alt 'F -4 3 m'
_space_group_IT_number 216
_space_group_name_Hall 'F -4 2 3'
loop_
_atom_site_label
_atom_site_type_symbol
_atom_site_fract_x
_atom_site_fract_y
_atom_site_fract_z
_atom_site_occupancy
Mg1 Mg 0.0000 0.0000 0.0000 1
Mg2 Mg 0.2500 0.2500 0.2500 1
Ru1 Ru 0.2500 0.2500 0.7500 1
Rh1 Rh 0.0000 0.0000 0.5000 1


# MgRu2Rh, relaxed, DFT PBE
# E_form	123	kJ/mol of formula units
# size of the total moment	1.4	μB/f.u.
data_MgRu2Rh
_cell_length_a 2.8425
_cell_length_b 4.6317
_cell_length_c 9.0865
_cell_angle_alpha 90.00
_cell_angle_beta 90.00
_cell_angle_gamma 90.00
_space_group_name_H-M_alt 'C m m m'
_space_group_IT_number 65
_space_group_name_Hall '-C 2 2'
loop_
_atom_site_label
_atom_site_type_symbol
_atom_site_fract_x
_atom_site_fract_y
_atom_site_fract_z
_atom_site_occupancy
Mg1 Mg 0.0000 0.0000 0.0000 1
Ru1 Ru 0.0000 0.5000 0.2523 1
Rh1 Rh 0.0000 0.0000 0.5000 1


# Mg2RuRh, relaxed, DFT PBE
# E_form	-30	kJ/mol of formula units
# size of the total moment	0.3	μB/f.u.
data_Mg2RuRh
_cell_length_a 2.8865
_cell_length_b 2.8865
_cell_length_c 25.8137
_cell_angle_alpha 90.00
_cell_angle_beta 90.00
_cell_angle_gamma 120.00
_space_group_name_H-M_alt 'R -3 m'
_space_group_IT_number 166
_space_group_name_Hall '-R 3 2"'
loop_
_atom_site_label
_atom_site_type_symbol
_atom_site_fract_x
_atom_site_fract_y
_atom_site_fract_z
_atom_site_occupancy
Mg1 Mg 0.0000 0.0000 0.2489 1
Ru1 Ru 0.0000 0.0000 0.0000 1
Rh1 Rh 0.0000 0.0000 0.5000 1


# MgRu2Rh, relaxed, DFT PBE
# E_form	6	kJ/mol of formula units
# size of the total moment	0.0	μB/f.u.
data_MgRu2Rh
_cell_length_a 9.2692
_cell_length_b 2.7759
_cell_length_c 4.6166
_cell_angle_alpha 90.00
_cell_angle_beta 100.65
_cell_angle_gamma 90.00
_space_group_name_H-M_alt 'C 1 2/m 1'
_space_group_IT_number 12
loop_
_space_group_symop_operation_xyz
'x,y,z'
'-x,-y,-z'
'-x,y,-z'
'x,-y,z'
'x+1/2,y+1/2,z'
'-x+1/2,-y+1/2,-z'
'-x+1/2,y+1/2,-z'
'x+1/2,-y+1/2,z'
loop_
_atom_site_label
_atom_site_type_symbol
_atom_site_fract_x
_atom_site_fract_y
_atom_site_fract_z
_atom_site_occupancy
Mg1 Mg 0.0000 0.0000 0.0000 1
Ru1 Ru 0.2402 0.0000 0.7461 1
Rh1 Rh 0.0000 0.5000 0.5000 1


# MgRuRh, relaxed, DFT PBE
# E_form	81	kJ/mol of formula units
# distance to the lowest polymorph of the same formula	374	meV/atom
# size of the total moment	0.0	μB/f.u.
data_MgRuRh
_cell_length_a 5.9430
_cell_length_b 5.9430
_cell_length_c 5.9430
_cell_angle_alpha 90.00
_cell_angle_beta 90.00
_cell_angle_gamma 90.00
_space_group_name_H-M_alt 'F -4 3 m'
_space_group_IT_number 216
_space_group_name_Hall 'F -4 2 3'
loop_
_atom_site_label
_atom_site_type_symbol
_atom_site_fract_x
_atom_site_fract_y
_atom_site_fract_z
_atom_site_occupancy
Mg1 Mg 0.0000 0.0000 0.0000 1
Ru1 Ru 0.0000 0.0000 0.5000 1
Rh1 Rh 0.2500 0.2500 0.7500 1


# MgRu2Rh, relaxed, DFT PBE
# E_form	44	kJ/mol of formula units
# size of the total moment	0.0	μB/f.u.
data_MgRu2Rh
_cell_length_a 2.9802
_cell_length_b 4.4754
_cell_length_c 8.7132
_cell_angle_alpha 90.00
_cell_angle_beta 90.00
_cell_angle_gamma 90.00
_space_group_name_H-M_alt 'I m m 2'
_space_group_IT_number 44
loop_
_space_group_symop_operation_xyz
'x,y,z'
'-x,-y,z'
'-x,y,z'
'x,-y,z'
'x+1/2,y+1/2,z+1/2'
'-x+1/2,-y+1/2,z+1/2'
'-x+1/2,y+1/2,z+1/2'
'x+1/2,-y+1/2,z+1/2'
loop_
_atom_site_label
_atom_site_type_symbol
_atom_site_fract_x
_atom_site_fract_y
_atom_site_fract_z
_atom_site_occupancy
Mg1 Mg 0.0000 0.0000 0.0000 1
Ru1 Ru 0.0000 0.0000 0.5036 1
Ru2 Ru 0.0000 0.5000 0.2480 1
Rh1 Rh 0.0000 0.5000 0.7464 1


# MgRuRh, relaxed, DFT PBE
# E_form	46	kJ/mol of formula units
# distance to the lowest polymorph of the same formula	251	meV/atom
# size of the total moment	1.0	μB/f.u.
data_MgRuRh
_cell_length_a 2.8914
_cell_length_b 4.6777
_cell_length_c 13.4871
_cell_angle_alpha 90.00
_cell_angle_beta 90.00
_cell_angle_gamma 90.00
_space_group_name_H-M_alt 'F m m 2'
_space_group_IT_number 42
_space_group_name_Hall 'F 2 -2'
loop_
_atom_site_label
_atom_site_type_symbol
_atom_site_fract_x
_atom_site_fract_y
_atom_site_fract_z
_atom_site_occupancy
Mg1 Mg 0.0000 0.0000 0.0000 1
Ru1 Ru 0.0000 0.0000 0.6701 1
Rh1 Rh 0.0000 0.0000 0.3347 1